Entry 1:
The following is a PBE calculation of an optimized crystal structure of CaFeS3, from the Alexandria database.

Geometry as CIF:
```
data_CaFeS3
_symmetry_space_group_name_H-M 'P m -3 m'
_symmetry_Int_Tables_number 221
_symmetry_space_group_name_Hall '-P 4 2 3'
_cell_length_a 4.584
_cell_length_b 4.584
_cell_length_c 4.584
_cell_angle_alpha 90.00
_cell_angle_beta 90.00
_cell_angle_gamma 90.00
loop_
_atom_site_label
_atom_site_type_symbol
_atom_site_fract_x
_atom_site_fract_y
_atom_site_fract_z
Ca1 Ca 0.000 0.000 0.000
Fe1 Fe 0.500 0.500 0.500
S1 S 0.000 0.500 0.500
```



Entry 2:
The following is a PBE calculation of an optimized crystal structure of CaFe2S4, from the Alexandria database.

Geometry as CIF:
```
data_CaFe2S4
_symmetry_space_group_name_H-M 'I m m a'
_symmetry_Int_Tables_number 74
_symmetry_space_group_name_Hall '-I 2b 2'
_cell_length_a 7.203
_cell_length_b 7.224
_cell_length_c 10.360
_cell_angle_alpha 90.00
_cell_angle_beta 90.00
_cell_angle_gamma 90.00
loop_
_atom_site_label
_atom_site_type_symbol
_atom_site_fract_x
_atom_site_fract_y
_atom_site_fract_z
Ca1 Ca 0.000 0.000 0.000
Fe1 Fe 0.000 0.250 0.383
Fe2 Fe 0.250 0.250 0.750
S1 S 0.000 0.030 0.738
S2 S 0.228 0.250 0.526
```



Energy relative to the elements, uncorrected (eV per atom)
-0.67; -0.61